Computed, not measured: an optimized crystal structure of Tm2HfSn at the PBE level of DFT.

Cell lengths 3.4176, 3.4176, 31.0720 Å; angles 90.00, 90.00, 120.00 degrees
Last column: nearest neighbours and their distance in Å.
Space group R-3m (No. 166, hexagonal axes)
Symmetry-distinct sites (fractional):
Tm1 0.0000 0.0000 0.2500  3 Sn 3.25, 3 Hf 3.26, 6 Tm 3.42
Hf1 0.0000 0.0000 0.0000  6 Tm 3.26, 6 Hf 3.42
Sn1 0.0000 0.0000 0.5000  6 Tm 3.25, 6 Sn 3.42

Summary:
- Size of the total moment: 0.00 μB per formula unit
- V: 26.19 Å³/atom
- Fermi-level density of states: 0.99 states/eV per atom
- Distance to the lowest polymorph of the same formula: 90 meV per atom
- Formation energy: -67.1 kJ/mol of formula units
- Mass density: 10.1 g/cm3

Computed, not measured: an optimized crystal structure of TmHfSn at the PBE level of DFT.

Cell lengths 3.6538, 3.6538, 10.9663 Å; angles 90.00, 90.00, 90.00 degrees
Last column: nearest neighbours and their distance in Å.
Space group I4mm (No. 107)
Symmetry-distinct sites (fractional):
Tm1 0.0000 0.0000 0.0000  5 Sn 3.21-3.57, 5 Hf 3.22-3.56
Hf1 0.0000 0.0000 0.3246  4 Sn 3.06, 4 Tm 3.22
Sn1 0.0000 0.0000 0.6742  4 Hf 3.06, 4 Tm 3.21

Summary:
- Size of the total moment: 0.00 μB per formula unit
- V: 24.40 Å³/atom
- Fermi-level density of states: 1.38 states/eV per atom
- Formation energy: -77.1 kJ/mol of formula units
- Mass density: 10.6 g/cm3

Computed, not measured: an optimized crystal structure of Tm2HfSn at the PBE level of DFT.

Cell lengths 4.6191, 4.6191, 4.6358 Å; angles 90.00, 90.00, 90.00 degrees
Last column: nearest neighbours and their distance in Å.
Space group P4/mmm (No. 123)
Symmetry-distinct sites (fractional):
Tm1 0.0000 0.5000 0.0000  4 Tm 3.27, 4 Hf 3.27, 4 Sn 3.27
Hf1 0.0000 0.0000 0.5000  4 Sn 3.27, 8 Tm 3.27
Sn1 0.5000 0.5000 0.5000  4 Hf 3.27, 8 Tm 3.27

Summary:
- Size of the total moment: 0.00 μB per formula unit
- V: 24.73 Å³/atom
- Fermi-level density of states: 1.30 states/eV per atom
- Distance to the lowest polymorph of the same formula: 0 meV per atom
- Formation energy: -101.7 kJ/mol of formula units
- Mass density: 10.7 g/cm3

Computed, not measured: an optimized crystal structure of HfUSn2 at the PBE level of DFT.

Cell lengths 3.1614, 3.1614, 34.4270 Å; angles 90.00, 90.00, 120.00 degrees
Last column: nearest neighbours and their distance in Å.
Space group R-3m (No. 166, hexagonal axes)
Symmetry-distinct sites (fractional):
Hf1 0.0000 0.0000 0.0000  6 Sn 3.13, 6 Hf 3.16
U1 0.0000 0.0000 0.5000  6 U 3.16, 2 Sn 3.20
Sn1 0.0000 0.0000 0.4071  3 Hf 3.13, 6 Sn 3.16, 1 U 3.20

Summary:
- Size of the total moment: 3.00 μB per formula unit
- V: 24.83 Å³/atom
- Fermi-level density of states: 1.89 states/eV per atom
- Distance to the lowest polymorph of the same formula: 216 meV per atom
- Formation energy: 67.6 kJ/mol of formula units
- Mass density: 10.9 g/cm3

Computed, not measured: an optimized crystal structure of HfUSn2 at the PBE level of DFT.

Cell lengths 4.6790, 4.6790, 4.3493 Å; angles 90.00, 90.00, 90.00 degrees
Last column: nearest neighbours and their distance in Å.
Space group P4/mmm (No. 123)
Symmetry-distinct sites (fractional):
Hf1 0.0000 0.0000 0.0000  8 Sn 3.19, 4 U 3.31
U1 0.5000 0.5000 0.0000  8 Sn 3.19, 4 Hf 3.31
Sn1 0.0000 0.5000 0.5000  4 Hf 3.19, 4 U 3.19, 4 Sn 3.31

Summary:
- Size of the total moment: 2.66 μB per formula unit
- V: 23.80 Å³/atom
- Fermi-level density of states: 1.94 states/eV per atom
- Distance to the lowest polymorph of the same formula: 0 meV per atom
- Formation energy: -15.8 kJ/mol of formula units
- Mass density: 11.4 g/cm3

Computed, not measured: an optimized crystal structure of Hf2VSn at the PBE level of DFT.

Cell lengths 3.5171, 3.5171, 6.3967 Å; angles 90.00, 90.00, 90.00 degrees
Last column: nearest neighbours and their distance in Å.
Space group P4/mmm (No. 123)
Symmetry-distinct sites (fractional):
Hf1 0.0000 0.0000 0.2308  4 V 2.89, 1 Hf 2.95, 4 Sn 3.03
V1 0.5000 0.5000 0.0000  8 Hf 2.89, 2 Sn 3.20
Sn1 0.5000 0.5000 0.5000  8 Hf 3.03, 2 V 3.20

Summary:
- Size of the total moment: 0.00 μB per formula unit
- V: 19.78 Å³/atom
- Fermi-level density of states: 1.07 states/eV per atom
- Formation energy: -56.5 kJ/mol of formula units
- Mass density: 11.1 g/cm3

Computed, not measured: an optimized crystal structure of Hf2VSn at the PBE level of DFT.

Cell lengths 7.6905, 7.6905, 5.7387 Å; angles 90.00, 90.00, 90.00 degrees
Last column: nearest neighbours and their distance in Å.
Space group I-42d (No. 122)
Symmetry-distinct sites (fractional):
Hf1 0.2262 0.2500 0.1250  2 V 2.69, 2 Hf 2.89, 2 Sn 2.94
V1 0.0000 0.0000 0.0000  4 Hf 2.69, 2 Sn 2.87
Sn1 0.0000 0.0000 0.5000  2 V 2.87, 4 Hf 2.94

Summary:
- Size of the total moment: 1.38 μB per formula unit
- V: 21.21 Å³/atom
- Fermi-level density of states: 1.12 states/eV per atom
- Formation energy: 178.3 kJ/mol of formula units
- Mass density: 10.3 g/cm3

Computed, not measured: an optimized crystal structure of Hf2VSn at the PBE level of DFT.

Cell lengths 3.2146, 3.2146, 27.8474 Å; angles 90.00, 90.00, 120.00 degrees
Last column: nearest neighbours and their distance in Å.
Space group R-3m (No. 166, hexagonal axes)
Symmetry-distinct sites (fractional):
Hf1 0.0000 0.0000 0.2426  3 V 2.81, 3 Sn 3.14
V1 0.0000 0.0000 0.5000  6 Hf 2.81
Sn1 0.0000 0.0000 0.0000  6 Hf 3.14, 6 Sn 3.21

Summary:
- Size of the total moment: 1.24 μB per formula unit
- V: 20.77 Å³/atom
- Fermi-level density of states: 0.62 states/eV per atom
- Formation energy: 23.8 kJ/mol of formula units
- Mass density: 10.5 g/cm3

Computed, not measured: an optimized crystal structure of HfV3Sn at the PBE level of DFT.

Cell lengths 4.7735, 4.7735, 4.7735 Å; angles 90.00, 90.00, 90.00 degrees
Last column: nearest neighbours and their distance in Å.
Space group Pm-3m (No. 221)
Symmetry-distinct sites (fractional):
Hf1 0.0000 0.0000 0.0000  12 V 3.38
V1 0.0000 0.5000 0.5000  2 Sn 2.39
Sn1 0.5000 0.5000 0.5000  6 V 2.39

Summary:
- Size of the total moment: 0.95 μB per formula unit
- V: 21.75 Å³/atom
- Fermi-level density of states: 1.36 states/eV per atom
- Distance to the lowest polymorph of the same formula: 53 meV per atom
- Formation energy: 703.7 kJ/mol of formula units
- Mass density: 6.9 g/cm3

Computed, not measured: an optimized crystal structure of Hf5VSn2 at the PBE level of DFT.

Cell lengths 4.9493, 13.4050, 11.9426 Å; angles 90.00, 90.00, 90.00 degrees
Last column: nearest neighbours and their distance in Å.
Space group Cmcm (No. 63)
Symmetry-distinct sites (fractional):
Hf1 0.0000 0.1021 0.1208  1 V 2.84, 2 Sn 2.95-2.99, 6 Hf 3.08-3.14
Hf2 0.0000 0.3119 0.0100  1 V 2.90, 6 Hf 2.99-3.14, 3 Sn 3.00-3.08
Hf3 0.0000 0.3237 0.7500  2 V 2.84, 6 Hf 3.08-3.11, 2 Sn 3.11
V1 0.0000 0.2801 0.2500  6 Hf 2.84-2.90, 4 Sn 3.18
Sn1 0.0000 0.1180 0.6288  1 Sn 2.89, 6 Hf 2.95-3.11, 2 V 3.18

Summary:
- Size of the total moment: 0.92 μB per formula unit
- V: 24.76 Å³/atom
- Fermi-level density of states: 0.84 states/eV per atom
- Formation energy: 201.9 kJ/mol of formula units
- Mass density: 9.9 g/cm3

Computed, not measured: an optimized crystal structure of HfV2Sn at the PBE level of DFT.

Cell lengths 7.3984, 7.3984, 5.6169 Å; angles 90.00, 90.00, 90.00 degrees
Last column: nearest neighbours and their distance in Å.
Space group I-42d (No. 122)
Symmetry-distinct sites (fractional):
Hf1 0.0000 0.0000 0.0000  4 V 2.75, 2 Sn 2.81
V1 0.2412 0.2500 0.6250  2 Sn 2.66, 2 Hf 2.75, 2 V 2.81
Sn1 0.0000 0.0000 0.5000  4 V 2.66, 2 Hf 2.81

Summary:
- Size of the total moment: 0.00 μB per formula unit
- V: 19.22 Å³/atom
- Fermi-level density of states: 1.39 states/eV per atom
- Formation energy: 254.3 kJ/mol of formula units
- Mass density: 8.6 g/cm3

Computed, not measured: an optimized crystal structure of HfV4Sn at the PBE level of DFT.

Cell lengths 7.2927, 7.2927, 7.2927 Å; angles 90.00, 90.00, 90.00 degrees
Last column: nearest neighbours and their distance in Å.
Space group F-43m (No. 216)
Symmetry-distinct sites (fractional):
Hf1 0.0000 0.0000 0.0000  12 V 3.02, 4 Sn 3.16
V1 0.1278 0.1278 0.3722  6 V 2.52-2.64
Sn1 0.2500 0.2500 0.7500  12 V 3.03, 4 Hf 3.16

Summary:
- Size of the total moment: 0.00 μB per formula unit
- V: 16.16 Å³/atom
- Fermi-level density of states: 1.32 states/eV per atom
- Formation energy: -4.1 kJ/mol of formula units
- Mass density: 8.6 g/cm3

Computed, not measured: an optimized crystal structure of HfVSn2 at the PBE level of DFT.

Cell lengths 3.1284, 3.1284, 31.1506 Å; angles 90.00, 90.00, 120.00 degrees
Last column: nearest neighbours and their distance in Å.
Space group R-3m (No. 166, hexagonal axes)
Symmetry-distinct sites (fractional):
Hf1 0.0000 0.0000 0.0000  2 Sn 2.97, 6 Hf 3.13
V1 0.0000 0.0000 0.5000  6 Sn 2.86, 6 V 3.13
Sn1 0.0000 0.0000 0.0954  3 V 2.86, 1 Hf 2.97, 6 Sn 3.13

Summary:
- Size of the total moment: 0.01 μB per formula unit
- V: 22.00 Å³/atom
- Fermi-level density of states: 1.14 states/eV per atom
- Distance to the lowest polymorph of the same formula: 221 meV per atom
- Formation energy: 132.1 kJ/mol of formula units
- Mass density: 8.8 g/cm3